(1)
VASP calculation (PBE) on a relaxed Re2Os crystal.

```
Re2Os
1.0
-1.378 1.378 12.125
1.378 -1.378 12.125
1.378 1.378 -12.125
Re Os
4 2
Cartesian
0.000 0.000 14.016 Re
1.378 0.000 4.171 Re
0.000 0.000 10.234 Re
1.378 0.000 7.954 Re
0.000 0.000 0.000 Os
0.000 1.378 6.062 Os
```

Properties
- Energy above the most stable polymorph in this dataset: 390 meV/atom
- Volume: 15.4 A^3/atom

---

(2)
VASP calculation (PBE) on a relaxed CaLaPm2Pr6 crystal.

```
CaLaPm2Pr6
1.0
1.336 2.891 -9.426
-2.989 -8.387 -2.405
-6.213 6.593 1.732
Pr La Pm Ca
12 2 4 2
Cartesian
-5.069 2.278 -5.801 Pr
-1.595 -4.017 -3.006 Pr
-6.271 5.113 -7.092 Pr
-2.886 -2.993 -10.592 Pr
-2.797 -1.182 -4.297 Pr
-2.282 -3.903 -6.825 Pr
-5.213 -4.357 -4.595 Pr
-4.980 4.089 0.494 Pr
-5.584 4.999 -3.273 Pr
-5.060 -2.315 -1.957 Pr
-2.806 3.411 -8.141 Pr
-2.653 5.453 -5.503 Pr
-3.296 -0.135 -7.794 La
-4.570 1.231 -2.304 La
-2.031 -1.137 -0.808 Pm
-5.835 2.233 -9.290 Pm
-6.149 -0.857 -5.031 Pm
-1.717 1.953 -5.067 Pm
-5.122 8.346 -5.452 Ca
-2.744 -7.250 -4.646 Ca
```

Properties
- Volume: 36.8 A^3/atom

---

no.,Fermi-level density of states (states/eV/atom),ΔE_f (eV/atom)
1,0.983,0.316
2,1.421,0.112